VASP calculation (PBE) on a geometry-optimized AcMgPa2N5 structure.

```
data_AcMgPa2N5
_chemical_formula_sum 'Ac4 Mg4 Pa8 N20'
_space_group_name_H-M_alt 'I 4/m c m'
_space_group_IT_number 140
_space_group_name_Hall '-I 4 2c'
_cell_length_a 6.6808
_cell_length_b 6.6808
_cell_length_c 11.6915
_cell_angle_alpha 90.00
_cell_angle_beta 90.00
_cell_angle_gamma 90.00
loop_
_atom_site_label
_atom_site_type_symbol
_atom_site_fract_x
_atom_site_fract_y
_atom_site_fract_z
Ac1 Ac 0.0000 0.0000 0.2500
Mg1 Mg 0.0000 0.5000 0.2500
Pa1 Pa 0.1761 0.3239 0.0000
N1 N 0.0000 0.0000 0.0000
N2 N 0.1560 0.3440 0.3725
```

E ... -8.7445 eV/atom

***

VASP calculation (PBE) on a geometry-optimized AcMg2ReN4 structure.

```
data_AcMg2ReN4
_chemical_formula_sum 'Ac4 Mg8 Re4 N16'
_space_group_name_H-M_alt 'C m c m'
_space_group_IT_number 63
_space_group_name_Hall '-C 2c 2'
_cell_length_a 3.4021
_cell_length_b 12.2474
_cell_length_c 10.9802
_cell_angle_alpha 90.00
_cell_angle_beta 90.00
_cell_angle_gamma 90.00
loop_
_atom_site_label
_atom_site_type_symbol
_atom_site_fract_x
_atom_site_fract_y
_atom_site_fract_z
Ac1 Ac 0.0000 0.0621 0.2500
Mg1 Mg 0.0000 0.3895 0.0327
Re1 Re 0.0000 0.1985 0.7500
N1 N 0.0000 0.0000 0.0000
N2 N 0.0000 0.2808 0.6141
N3 N 0.0000 0.3973 0.2500
```

E ... -7.1610 eV/atom

***

VASP calculation (PBE) on a geometry-optimized Ac3MgSi2N6 structure.

```
data_Ac3MgSi2N6
_chemical_formula_sum 'Ac3 Mg1 Si2 N6'
_space_group_name_H-M_alt 'P -3 m 1'
_space_group_IT_number 164
_space_group_name_Hall '-P 3 2"'
_cell_length_a 5.8419
_cell_length_b 5.8419
_cell_length_c 6.6853
_cell_angle_alpha 90.00
_cell_angle_beta 90.00
_cell_angle_gamma 120.00
loop_
_atom_site_label
_atom_site_type_symbol
_atom_site_fract_x
_atom_site_fract_y
_atom_site_fract_z
Ac1 Ac 0.0000 0.0000 0.0000
Ac2 Ac 0.3333 0.6667 0.6655
Mg1 Mg 0.0000 0.0000 0.5000
Si1 Si 0.3333 0.6667 0.2292
N1 N 0.1720 0.3440 0.2945
```

E ... -7.2087 eV/atom

***

VASP calculation (PBE) on a geometry-optimized AcMgSnN3 structure.

```
data_AcMgSnN3
_chemical_formula_sum 'Ac2 Mg2 Sn2 N6'
_space_group_name_H-M_alt 'P 1 21/m 1'
_space_group_IT_number 11
_cell_length_a 6.2787
_cell_length_b 3.4839
_cell_length_c 9.0975
_cell_angle_alpha 90.00
_cell_angle_beta 109.57
_cell_angle_gamma 90.00
loop_
_space_group_symop_operation_xyz
'x,y,z'
'-x,-y,-z'
'-x,y+1/2,-z'
'x,-y+1/2,z'
loop_
_atom_site_label
_atom_site_type_symbol
_atom_site_fract_x
_atom_site_fract_y
_atom_site_fract_z
Ac1 Ac 0.2308 0.2500 0.2280
Mg1 Mg 0.2031 0.7500 0.5660
Sn1 Sn 0.3062 0.2500 0.8467
N1 N 0.0226 0.7500 0.3325
N2 N 0.2773 0.7500 0.9788
N3 N 0.4368 0.2500 0.6594
```

E ... -6.2392 eV/atom

***

VASP calculation (PBE) on a geometry-optimized AcMg2SnN structure.

```
data_AcMg2SnN
_chemical_formula_sum 'Ac4 Mg8 Sn4 N4'
_space_group_name_H-M_alt 'C m c m'
_space_group_IT_number 63
_space_group_name_Hall '-C 2c 2'
_cell_length_a 4.1890
_cell_length_b 13.1002
_cell_length_c 8.1021
_cell_angle_alpha 90.00
_cell_angle_beta 90.00
_cell_angle_gamma 90.00
loop_
_atom_site_label
_atom_site_type_symbol
_atom_site_fract_x
_atom_site_fract_y
_atom_site_fract_z
Ac1 Ac 0.0000 0.0355 0.2500
Mg1 Mg 0.0000 0.3474 0.0519
Sn1 Sn 0.0000 0.2345 0.7500
N1 N 0.0000 0.5000 0.0000
```

E ... -4.5146 eV/atom

***

VASP calculation (PBE) on a geometry-optimized AcMg2TaN4 structure.

```
data_AcMg2TaN4
_chemical_formula_sum 'Ac2 Mg4 Ta2 N8'
_space_group_name_H-M_alt 'P m n 21'
_space_group_IT_number 31
_cell_length_a 7.5917
_cell_length_b 5.9250
_cell_length_c 5.6075
_cell_angle_alpha 90.00
_cell_angle_beta 90.00
_cell_angle_gamma 90.00
loop_
_space_group_symop_operation_xyz
'x,y,z'
'-x+1/2,-y,z+1/2'
'-x,y,z'
'x+1/2,-y,z+1/2'
loop_
_atom_site_label
_atom_site_type_symbol
_atom_site_fract_x
_atom_site_fract_y
_atom_site_fract_z
Ac1 Ac 0.0000 0.1837 0.0000
Mg1 Mg 0.2493 0.3311 0.5133
Ta1 Ta 0.0000 0.8011 0.5175
N1 N 0.0000 0.1338 0.4714
N2 N 0.0000 0.7725 0.8662
N3 N 0.2103 0.6588 0.3837
```

E ... -7.6648 eV/atom

***

VASP calculation (PBE) on a geometry-optimized AcMgTa4N8 structure.

```
data_AcMgTa4N8
_chemical_formula_sum 'Ac3 Mg3 Ta12 N24'
_space_group_name_H-M_alt 'R 3 m'
_space_group_IT_number 160
_space_group_name_Hall 'R 3 -2"'
_cell_length_a 6.3916
_cell_length_b 6.3916
_cell_length_c 16.1530
_cell_angle_alpha 90.00
_cell_angle_beta 90.00
_cell_angle_gamma 120.00
loop_
_atom_site_label
_atom_site_type_symbol
_atom_site_fract_x
_atom_site_fract_y
_atom_site_fract_z
Ac1 Ac 0.0000 0.0000 0.0000
Mg1 Mg 0.0000 0.0000 0.6238
Ta1 Ta 0.0000 0.0000 0.2489
Ta2 Ta 0.1738 0.3476 0.4561
N1 N 0.0000 0.0000 0.3790
N2 N 0.0000 0.0000 0.8551
N3 N 0.0546 0.5273 0.3884
N4 N 0.1673 0.3345 0.2043
```

E ... -9.5183 eV/atom

***

VASP calculation (PBE) on a geometry-optimized AcMgTcN3 structure.

```
data_AcMgTcN3
_chemical_formula_sum 'Ac2 Mg2 Tc2 N6'
_space_group_name_H-M_alt 'P 1 21/m 1'
_space_group_IT_number 11
_cell_length_a 6.1938
_cell_length_b 3.3649
_cell_length_c 8.2951
_cell_angle_alpha 90.00
_cell_angle_beta 107.43
_cell_angle_gamma 90.00
loop_
_space_group_symop_operation_xyz
'x,y,z'
'-x,-y,-z'
'-x,y+1/2,-z'
'x,-y+1/2,z'
loop_
_atom_site_label
_atom_site_type_symbol
_atom_site_fract_x
_atom_site_fract_y
_atom_site_fract_z
Ac1 Ac 0.0247 0.2500 0.2263
Mg1 Mg 0.3921 0.7500 0.5877
Tc1 Tc 0.4859 0.7500 0.1178
N1 N 0.2265 0.2500 0.6755
N2 N 0.2776 0.2500 0.0181
N3 N 0.3491 0.7500 0.3262
```

E ... -7.4165 eV/atom

***

VASP calculation (PBE) on a geometry-optimized Ac2MgTcN4 structure.

```
data_Ac2MgTcN4
_chemical_formula_sum 'Ac16 Mg8 Tc8 N32'
_space_group_name_H-M_alt 'F d d d'
_space_group_IT_number 70
_cell_length_a 4.9565
_cell_length_b 11.5951
_cell_length_c 19.0151
_cell_angle_alpha 90.00
_cell_angle_beta 90.00
_cell_angle_gamma 90.00
loop_
_space_group_symop_operation_xyz
'x,y,z'
'-x,-y,-z'
'-x+1/4,-y+1/4,z'
'x+1/4,y+1/4,-z'
'x,-y+1/4,-z+1/4'
'-x,y+1/4,z+1/4'
'-x+1/4,y,-z+1/4'
'x+1/4,-y,z+1/4'
'x,y+1/2,z+1/2'
'-x,-y+1/2,-z+1/2'
'-x+1/4,-y+3/4,z+1/2'
'x+1/4,y+3/4,-z+1/2'
'x,-y+3/4,-z+3/4'
'-x,y+3/4,z+3/4'
'-x+1/4,y+1/2,-z+3/4'
'x+1/4,-y+1/2,z+3/4'
'x+1/2,y,z+1/2'
'-x+1/2,-y,-z+1/2'
'-x+3/4,-y+1/4,z+1/2'
'x+3/4,y+1/4,-z+1/2'
'x+1/2,-y+1/4,-z+3/4'
'-x+1/2,y+1/4,z+3/4'
'-x+3/4,y,-z+3/4'
'x+3/4,-y,z+3/4'
'x+1/2,y+1/2,z'
'-x+1/2,-y+1/2,-z'
'-x+3/4,-y+3/4,z'
'x+3/4,y+3/4,-z'
'x+1/2,-y+3/4,-z+1/4'
'-x+1/2,y+3/4,z+1/4'
'-x+3/4,y+1/2,-z+1/4'
'x+3/4,-y+1/2,z+1/4'
loop_
_atom_site_label
_atom_site_type_symbol
_atom_site_fract_x
_atom_site_fract_y
_atom_site_fract_z
Ac1 Ac 0.1250 0.1250 0.3027
Mg1 Mg 0.1250 0.1250 0.1250
Tc1 Tc 0.1250 0.1250 0.6250
N1 N 0.1139 0.2603 0.8325
```

E ... -7.0263 eV/atom

***

VASP calculation (PBE) on a geometry-optimized Ac2MgTc2N6 structure.

```
data_Ac2MgTc2N6
_chemical_formula_sum 'Ac6 Mg3 Tc6 N18'
_space_group_name_H-M_alt 'R -3 m'
_space_group_IT_number 166
_space_group_name_Hall '-R 3 2"'
_cell_length_a 5.7661
_cell_length_b 5.7661
_cell_length_c 18.3668
_cell_angle_alpha 90.00
_cell_angle_beta 90.00
_cell_angle_gamma 120.00
loop_
_atom_site_label
_atom_site_type_symbol
_atom_site_fract_x
_atom_site_fract_y
_atom_site_fract_z
Ac1 Ac 0.0000 0.0000 0.2113
Mg1 Mg 0.0000 0.0000 0.0000
Tc1 Tc 0.0000 0.0000 0.3968
N1 N 0.0095 0.5048 0.7589
```

E ... -7.8008 eV/atom

***

VASP calculation (PBE) on a geometry-optimized AcMg2TiN4 structure.

```
data_AcMg2TiN4
_chemical_formula_sum 'Ac2 Mg4 Ti2 N8'
_space_group_name_H-M_alt 'P m n 21'
_space_group_IT_number 31
_cell_length_a 7.4051
_cell_length_b 5.9924
_cell_length_c 5.5428
_cell_angle_alpha 90.00
_cell_angle_beta 90.00
_cell_angle_gamma 90.00
loop_
_space_group_symop_operation_xyz
'x,y,z'
'-x+1/2,-y,z+1/2'
'-x,y,z'
'x+1/2,-y,z+1/2'
loop_
_atom_site_label
_atom_site_type_symbol
_atom_site_fract_x
_atom_site_fract_y
_atom_site_fract_z
Ac1 Ac 0.0000 0.1773 0.0000
Mg1 Mg 0.2498 0.3329 0.5145
Ti1 Ti 0.0000 0.8058 0.5231
N1 N 0.0000 0.1335 0.4753
N2 N 0.0000 0.7801 0.8666
N3 N 0.2090 0.6599 0.3904
```

E ... -6.9856 eV/atom

***

VASP calculation (PBE) on a geometry-optimized AcMg2VN4 structure.

```
data_AcMg2VN4
_chemical_formula_sum 'Ac2 Mg4 V2 N8'
_space_group_name_H-M_alt 'P m n 21'
_space_group_IT_number 31
_cell_length_a 7.2749
_cell_length_b 5.8465
_cell_length_c 5.5508
_cell_angle_alpha 90.00
_cell_angle_beta 90.00
_cell_angle_gamma 90.00
loop_
_space_group_symop_operation_xyz
'x,y,z'
'-x+1/2,-y,z+1/2'
'-x,y,z'
'x+1/2,-y,z+1/2'
loop_
_atom_site_label
_atom_site_type_symbol
_atom_site_fract_x
_atom_site_fract_y
_atom_site_fract_z
Ac1 Ac 0.0000 0.1515 0.0000
Mg1 Mg 0.2444 0.3418 0.5125
V1 V 0.0000 0.8011 0.5181
N1 N 0.0000 0.1201 0.4836
N2 N 0.0000 0.7525 0.8435
N3 N 0.2024 0.6722 0.3830
```

E ... -7.2409 eV/atom

***

Copy entry 5 word for word.
VASP calculation (PBE) on a geometry-optimized AcMg2SnN structure.

```
data_AcMg2SnN
_chemical_formula_sum 'Ac4 Mg8 Sn4 N4'
_space_group_name_H-M_alt 'C m c m'
_space_group_IT_number 63
_space_group_name_Hall '-C 2c 2'
_cell_length_a 4.1890
_cell_length_b 13.1002
_cell_length_c 8.1021
_cell_angle_alpha 90.00
_cell_angle_beta 90.00
_cell_angle_gamma 90.00
loop_
_atom_site_label
_atom_site_type_symbol
_atom_site_fract_x
_atom_site_fract_y
_atom_site_fract_z
Ac1 Ac 0.0000 0.0355 0.2500
Mg1 Mg 0.0000 0.3474 0.0519
Sn1 Sn 0.0000 0.2345 0.7500
N1 N 0.0000 0.5000 0.0000
```

E ... -4.5146 eV/atom